## ZrVClO2 (PBE+U)

Data for a geometry-optimized ZrVClO2 structure.

Lattice parameters (Å, degrees): 4.361 4.361 4.648 90.00 90.00 90.00
Sites, in units of the cell vectors:
Zr 0.000 0.000 0.000
V 0.500 0.500 0.000
Cl 0.000 0.000 0.500
O 0.000 0.500 0.500
O 0.500 0.000 0.500

The calculation puts the size of the total moment at 2.353 μB/f.u. The value obtained for the total energy is -4.633 eV per atom.